Run a
DFT (PBE+U) results for a relaxed Dy3CrO6 crystal.

Geometry as CIF:
```
data_Dy3CrO6
_symmetry_space_group_name_H-M 'R -3'
_symmetry_Int_Tables_number 148
_symmetry_space_group_name_Hall '-R 3'
_cell_length_a 9.4232
_cell_length_b 9.4232
_cell_length_c 10.7784
_cell_angle_alpha 90.00
_cell_angle_beta 90.00
_cell_angle_gamma 120.00
loop_
_atom_site_label
_atom_site_type_symbol
_atom_site_fract_x
_atom_site_fract_y
_atom_site_fract_z
Dy1 Dy 0.0422 0.2672 0.2027
Cr1 Cr 0.0000 0.0000 0.0000
Cr2 Cr 0.0000 0.0000 0.5000
O1 O 0.0279 0.1840 0.8851
O2 O 0.0284 0.2044 0.4035
```

Calculated volume = 828.9 Å³ per cell
Crystal system = trigonal

=====

Run b
DFT (PBE+U) results for a relaxed Dy3CrO6 crystal.

Geometry as CIF:
```
data_Dy3CrO6
_symmetry_space_group_name_H-M 'C m c 21'
_symmetry_Int_Tables_number 36
_cell_length_a 8.944
_cell_length_b 10.906
_cell_length_c 5.484
_cell_angle_alpha 90.00
_cell_angle_beta 90.00
_cell_angle_gamma 90.00
loop_
_symmetry_equiv_pos_as_xyz
'x,y,z'
'-x,-y,z+1/2'
'-x,y,z'
'x,-y,z+1/2'
'x+1/2,y+1/2,z'
'-x+1/2,-y+1/2,z+1/2'
'-x+1/2,y+1/2,z'
'x+1/2,-y+1/2,z+1/2'
loop_
_atom_site_label
_atom_site_type_symbol
_atom_site_fract_x
_atom_site_fract_y
_atom_site_fract_z
Dy1 Dy 0.000 0.103 0.000
Dy2 Dy 0.203 0.384 0.052
Cr1 Cr 0.000 0.353 0.562
O1 O 0.000 0.277 0.239
O2 O 0.000 0.487 0.853
O3 O 0.148 0.254 0.736
O4 O 0.159 0.013 0.275
```

Calculated volume = 534.9 Å³ per cell
Crystal system = orthorhombic

=====

Q: Which of them is the least stable? A: run b.

=====

Run a
DFT (PBE+U) results for a relaxed ErCrF5 crystal.

Geometry as CIF:
```
data_ErCrF5
_symmetry_space_group_name_H-M 'P 1 21/c 1'
_symmetry_Int_Tables_number 14
_cell_length_a 5.695
_cell_length_b 10.541
_cell_length_c 8.455
_cell_angle_alpha 90.00
_cell_angle_beta 105.49
_cell_angle_gamma 90.00
loop_
_symmetry_equiv_pos_as_xyz
'x,y,z'
'-x,-y,-z'
'-x,y+1/2,-z+1/2'
'x,-y+1/2,z+1/2'
loop_
_atom_site_label
_atom_site_type_symbol
_atom_site_fract_x
_atom_site_fract_y
_atom_site_fract_z
Er1 Er 0.073 0.243 0.359
Cr1 Cr 0.495 0.502 0.710
F1 F 0.111 0.207 0.616
F2 F 0.204 0.604 0.229
F3 F 0.209 0.619 0.660
F4 F 0.347 0.102 0.357
F5 F 0.351 0.108 0.940
```

Calculated volume = 489.1 Å³ per cell
Crystal system = monoclinic

=====

Run b
DFT (PBE+U) results for a relaxed ErCrF5 crystal.

Geometry as CIF:
```
data_ErCrF5
_symmetry_space_group_name_H-M 'C 1 2/c 1'
_symmetry_Int_Tables_number 15
_cell_length_a 8.899
_cell_length_b 7.269
_cell_length_c 7.302
_cell_angle_alpha 90.00
_cell_angle_beta 112.40
_cell_angle_gamma 90.00
loop_
_symmetry_equiv_pos_as_xyz
'x,y,z'
'-x,-y,-z'
'-x,y,-z+1/2'
'x,-y,z+1/2'
'x+1/2,y+1/2,z'
'-x+1/2,-y+1/2,-z'
'-x+1/2,y+1/2,-z+1/2'
'x+1/2,-y+1/2,z+1/2'
loop_
_atom_site_label
_atom_site_type_symbol
_atom_site_fract_x
_atom_site_fract_y
_atom_site_fract_z
Er1 Er 0.000 0.055 0.250
Cr1 Cr 0.000 0.500 0.000
F1 F 0.000 0.369 0.250
F2 F 0.012 0.169 0.961
F3 F 0.240 0.461 0.631
```

Calculated volume = 436.7 Å³ per cell
Crystal system = monoclinic

=====

Q: Which of them is the least stable? A: run a.

=====

Run a
DFT (PBE+U) results for a relaxed Er3CrO6 crystal.

Geometry as CIF:
```
data_Er3CrO6
_symmetry_space_group_name_H-M 'R -3'
_symmetry_Int_Tables_number 148
_symmetry_space_group_name_Hall '-R 3'
_cell_length_a 9.3299
_cell_length_b 9.3299
_cell_length_c 10.7106
_cell_angle_alpha 90.00
_cell_angle_beta 90.00
_cell_angle_gamma 120.00
loop_
_atom_site_label
_atom_site_type_symbol
_atom_site_fract_x
_atom_site_fract_y
_atom_site_fract_z
Er1 Er 0.0423 0.2671 0.2031
Cr1 Cr 0.0000 0.0000 0.0000
Cr2 Cr 0.0000 0.0000 0.5000
O1 O 0.0280 0.1846 0.8838
O2 O 0.0279 0.2055 0.4032
```

Calculated volume = 807.4 Å³ per cell
Crystal system = trigonal

=====

Run b
DFT (PBE+U) results for a relaxed Er3CrO6 crystal.

Geometry as CIF:
```
data_Er3CrO6
_symmetry_space_group_name_H-M 'C m c 21'
_symmetry_Int_Tables_number 36
_cell_length_a 8.850
_cell_length_b 10.806
_cell_length_c 5.444
_cell_angle_alpha 90.00
_cell_angle_beta 90.00
_cell_angle_gamma 90.00
loop_
_symmetry_equiv_pos_as_xyz
'x,y,z'
'-x,-y,z+1/2'
'-x,y,z'
'x,-y,z+1/2'
'x+1/2,y+1/2,z'
'-x+1/2,-y+1/2,z+1/2'
'-x+1/2,y+1/2,z'
'x+1/2,-y+1/2,z+1/2'
loop_
_atom_site_label
_atom_site_type_symbol
_atom_site_fract_x
_atom_site_fract_y
_atom_site_fract_z
Er1 Er 0.000 0.103 0.000
Er2 Er 0.204 0.384 0.948
Cr1 Cr 0.000 0.353 0.435
O1 O 0.000 0.277 0.762
O2 O 0.000 0.486 0.141
O3 O 0.149 0.253 0.259
O4 O 0.160 0.014 0.725
```

Calculated volume = 520.6 Å³ per cell
Crystal system = orthorhombic

=====

Q: Which of them is the least stable? A: run b.